(1)
# K2TlAgF6

A relaxed structure of K2TlAgF6 (GGA-PBE, OQMD). Values from VASP.

The calculation puts the energy relative to the lowest polymorph listed for this composition at 0.000 eV per atom.

```
&SYSTEM
  ibrav = 0, nat = 10, ntyp = 4
/
ATOMIC_SPECIES
K 39.10 K.upf
Tl 204.38 Tl.upf
Ag 107.87 Ag.upf
F 19.00 F.upf
CELL_PARAMETERS angstrom
0.000 4.444 4.444
4.444 0.000 4.444
4.444 4.444 0.000
ATOMIC_POSITIONS crystal
K 0.250 0.250 0.250
K 0.750 0.750 0.750
Tl 0.000 0.000 0.000
Ag 0.500 0.500 0.500
F 0.244 0.244 0.756
F 0.244 0.756 0.244
F 0.244 0.756 0.756
F 0.756 0.244 0.244
F 0.756 0.244 0.756
F 0.756 0.756 0.244
```

***

(2)
# Ni3Sb

A relaxed structure of Ni3Sb (GGA-PBE, OQMD). Values from VASP.

The calculation puts the energy relative to the lowest polymorph listed for this composition at 0.018 eV per atom.

```
&SYSTEM
  ibrav = 0, nat = 4, ntyp = 2
/
ATOMIC_SPECIES
Ni 58.69 Ni.upf
Sb 121.76 Sb.upf
CELL_PARAMETERS angstrom
-1.876 1.876 3.660
1.876 -1.876 3.660
1.876 1.876 -3.660
ATOMIC_POSITIONS crystal
Ni 0.000 0.000 0.000
Ni 0.250 0.750 0.500
Ni 0.750 0.250 0.500
Sb 0.500 0.500 0.000
```

***

(3)
# Nd3TlAgHg2Pt2

A relaxed structure of Nd3TlAgHg2Pt2 (GGA-PBE, OQMD). Values from VASP.

The calculation puts the calculated total energy at -4.269 eV/atom.

```
&SYSTEM
  ibrav = 0, nat = 9, ntyp = 5
/
ATOMIC_SPECIES
Nd 144.24 Nd.upf
Tl 204.38 Tl.upf
Ag 107.87 Ag.upf
Hg 200.59 Hg.upf
Pt 195.08 Pt.upf
CELL_PARAMETERS angstrom
3.909 0.000 0.000
0.000 6.917 3.989
0.000 -6.917 3.989
ATOMIC_POSITIONS crystal
Nd 0.000 0.000 0.000
Nd 0.000 0.182 0.598
Nd 0.000 0.598 0.182
Tl 0.500 0.333 0.333
Ag 0.000 0.596 0.596
Hg 0.500 0.593 0.860
Hg 0.500 0.860 0.593
Pt 0.500 0.262 0.930
Pt 0.500 0.930 0.262
```

***

(4)
# HfReAsO

A relaxed structure of HfReAsO (GGA-PBE, OQMD). Values from VASP.

The calculation puts the energy relative to the lowest polymorph listed for this composition at 0.234 eV per atom.

```
&SYSTEM
  ibrav = 0, nat = 8, ntyp = 4
/
ATOMIC_SPECIES
Hf 178.49 Hf.upf
Re 186.21 Re.upf
As 74.92 As.upf
O 16.00 O.upf
CELL_PARAMETERS angstrom
4.266 0.000 0.000
0.000 4.748 0.000
0.000 0.000 6.015
ATOMIC_POSITIONS crystal
Hf 0.000 0.226 0.000
Hf 0.000 0.774 0.500
Re 0.500 0.383 0.330
Re 0.500 0.617 0.830
As 0.500 0.120 0.687
As 0.500 0.880 0.187
O 0.000 0.432 0.297
O 0.000 0.568 0.797
```

***

(5)
# NpPbW

A relaxed structure of NpPbW (GGA-PBE, OQMD). Values from VASP.

The calculation puts the energy relative to the lowest polymorph listed for this composition at 0.000 eV per atom.

```
&SYSTEM
  ibrav = 0, nat = 3, ntyp = 3
/
ATOMIC_SPECIES
Np 237.00 Np.upf
Pb 207.20 Pb.upf
W 183.84 W.upf
CELL_PARAMETERS angstrom
0.000 3.344 3.344
3.344 0.000 3.344
3.344 3.344 0.000
ATOMIC_POSITIONS crystal
Np 0.000 0.000 0.000
Pb 0.500 0.500 0.500
W 0.750 0.750 0.750
```

***

(6)
# TlGaCo

A relaxed structure of TlGaCo (GGA-PBE, OQMD). Values from VASP.

The calculation puts the energy relative to the lowest polymorph listed for this composition at 0.000 eV per atom.

```
&SYSTEM
  ibrav = 0, nat = 3, ntyp = 3
/
ATOMIC_SPECIES
Tl 204.38 Tl.upf
Ga 69.72 Ga.upf
Co 58.93 Co.upf
CELL_PARAMETERS angstrom
0.000 3.022 3.022
3.022 0.000 3.022
3.022 3.022 0.000
ATOMIC_POSITIONS crystal
Tl 0.000 0.000 0.000
Ga 0.500 0.500 0.500
Co 0.750 0.750 0.750
```